Run one
Na3AlBi | PBE-GGA | optimized geometry

CIF file:
```
data_Na3AlBi
_symmetry_space_group_name_H-M 'P m -3 m'
_symmetry_Int_Tables_number 221
_symmetry_space_group_name_Hall '-P 4 2 3'
_cell_length_a 5.9379
_cell_length_b 5.9379
_cell_length_c 5.9379
_cell_angle_alpha 90.00
_cell_angle_beta 90.00
_cell_angle_gamma 90.00
loop_
_atom_site_label
_atom_site_fract_x
_atom_site_fract_y
_atom_site_fract_z
Na1 0.0000 0.0000 0.5000
Al1 0.5000 0.5000 0.5000
Bi1 0.0000 0.0000 0.0000
```

Properties
For the total magnetization, the calculation gives 0.000 μB/atom.

=====

Run two
Na3AlBi | PBE-GGA | optimized geometry

CIF file:
```
data_Na3AlBi
_symmetry_space_group_name_H-M 'P m -3 m'
_symmetry_Int_Tables_number 221
_symmetry_space_group_name_Hall '-P 4 2 3'
_cell_length_a 5.5822
_cell_length_b 5.5822
_cell_length_c 5.5822
_cell_angle_alpha 90.00
_cell_angle_beta 90.00
_cell_angle_gamma 90.00
loop_
_atom_site_label
_atom_site_fract_x
_atom_site_fract_y
_atom_site_fract_z
Na1 0.0000 0.0000 0.5000
Al1 0.0000 0.0000 0.0000
Bi1 0.5000 0.5000 0.5000
```

Properties
For the total magnetization, the calculation gives 0.000 μB/atom.

=====

Going by the energies, run one is most stable and the next is 0.128 eV/atom up.

=====

Run one
Na2AlBi | PBE-GGA | optimized geometry

CIF file:
```
data_Na2AlBi
_symmetry_space_group_name_H-M 'F m -3 m'
_symmetry_Int_Tables_number 225
_symmetry_space_group_name_Hall '-F 4 2 3'
_cell_length_a 7.5236
_cell_length_b 7.5236
_cell_length_c 7.5236
_cell_angle_alpha 90.00
_cell_angle_beta 90.00
_cell_angle_gamma 90.00
loop_
_atom_site_label
_atom_site_fract_x
_atom_site_fract_y
_atom_site_fract_z
Na1 0.2500 0.2500 0.2500
Al1 0.0000 0.0000 0.0000
Bi1 0.0000 0.0000 0.5000
```

Properties
For the total magnetization, the calculation gives 0.000 μB/atom.

=====

Run two
Na2AlBi | PBE-GGA | optimized geometry

CIF file:
```
data_Na2AlBi
_symmetry_space_group_name_H-M 'I -4 2 d'
_symmetry_Int_Tables_number 122
_symmetry_space_group_name_Hall 'I -4 2bw'
_cell_length_a 4.4739
_cell_length_b 4.4739
_cell_length_c 22.3827
_cell_angle_alpha 90.00
_cell_angle_beta 90.00
_cell_angle_gamma 90.00
loop_
_atom_site_label
_atom_site_fract_x
_atom_site_fract_y
_atom_site_fract_z
Na1 0.2453 0.2500 0.1250
Al1 0.0000 0.0000 0.0000
Bi1 0.0000 0.0000 0.5000
```

Properties
For the total magnetization, the calculation gives 0.000 μB/atom.

=====

Going by the energies, run one is most stable and the next is 0.130 eV/atom up.